The following is a DFT calculation (GGA-PBE) of a relaxed structure of ZrCrAu3.

CIF file:
```
data_ZrCrAu3
_chemical_formula_sum 'Zr1 Cr1 Au3'
_symmetry_space_group_name_H-M 'P m -3 m'
_symmetry_Int_Tables_number 221
_symmetry_space_group_name_Hall '-P 4 2 3'
_cell_length_a 5.216
_cell_length_b 5.216
_cell_length_c 5.216
_cell_angle_alpha 90.00
_cell_angle_beta 90.00
_cell_angle_gamma 90.00
loop_
_atom_site_label
_atom_site_fract_x
_atom_site_fract_y
_atom_site_fract_z
Zr1 0.000 0.000 0.000
Cr1 0.500 0.500 0.500
Au1 0.000 0.000 0.500
```

Output
Total energy in eV/cell: -23.466
Energy relative to the lowest polymorph listed for this composition in meV per atom: 120
Energy relative to the elements in meV/atom: 907

The following is a DFT calculation (GGA-PBE) of a relaxed structure of ZrCrAu2.

CIF file:
```
data_ZrCrAu2
_chemical_formula_sum 'Zr1 Cr1 Au2'
_symmetry_space_group_name_H-M 'P m m 2'
_symmetry_Int_Tables_number 25
_cell_length_a 3.100
_cell_length_b 4.753
_cell_length_c 4.996
_cell_angle_alpha 90.00
_cell_angle_beta 90.00
_cell_angle_gamma 90.00
loop_
_symmetry_equiv_pos_as_xyz
'x,y,z'
'-x,-y,z'
'-x,y,z'
'x,-y,z'
loop_
_atom_site_label
_atom_site_fract_x
_atom_site_fract_y
_atom_site_fract_z
Zr1 0.000 0.000 0.000
Cr1 0.000 0.500 0.376
Au1 0.500 0.000 0.495
Au2 0.500 0.500 0.857
```

Output
Total energy in eV/cell: -25.292
Energy relative to the lowest polymorph listed for this composition in meV per atom: 66
Energy relative to the elements in meV/atom: -142

The following is a DFT calculation (GGA-PBE) of a relaxed structure of ZrCr2Au.

CIF file:
```
data_ZrCr2Au
_chemical_formula_sum 'Zr3 Cr6 Au3'
_symmetry_space_group_name_H-M 'R -3 m'
_symmetry_Int_Tables_number 166
_symmetry_space_group_name_Hall '-R 3 2"'
_cell_length_a 3.0850
_cell_length_b 3.0850
_cell_length_c 26.5307
_cell_angle_alpha 90.00
_cell_angle_beta 90.00
_cell_angle_gamma 120.00
loop_
_atom_site_label
_atom_site_fract_x
_atom_site_fract_y
_atom_site_fract_z
Zr1 0.0000 0.0000 0.0000
Cr1 0.0000 0.0000 0.2490
Au1 0.0000 0.0000 0.5000
```

Output
Total energy in eV/cell: -87.355
Energy relative to the lowest polymorph listed for this composition in meV per atom: 513
Energy relative to the elements in meV/atom: 488

The following is a DFT calculation (GGA-PBE) of a relaxed structure of ZrCr2Au.

CIF file:
```
data_ZrCr2Au
_chemical_formula_sum 'Zr3 Cr6 Au3'
_symmetry_space_group_name_H-M 'R 3 m'
_symmetry_Int_Tables_number 160
_symmetry_space_group_name_Hall 'R 3 -2"'
_cell_length_a 2.9547
_cell_length_b 2.9547
_cell_length_c 25.8969
_cell_angle_alpha 90.00
_cell_angle_beta 90.00
_cell_angle_gamma 120.00
loop_
_atom_site_label
_atom_site_fract_x
_atom_site_fract_y
_atom_site_fract_z
Zr1 0.0000 0.0000 0.0000
Cr1 0.0000 0.0000 0.4830
Cr2 0.0000 0.0000 0.7583
Au1 0.0000 0.0000 0.2368
```

Output
Total energy in eV/cell: -89.727
Energy relative to the lowest polymorph listed for this composition in meV per atom: 315
Energy relative to the elements in meV/atom: 291

The following is a DFT calculation (GGA-PBE) of a relaxed structure of ZrCrAu2.

CIF file:
```
data_ZrCrAu2
_chemical_formula_sum 'Zr4 Cr4 Au8'
_symmetry_space_group_name_H-M 'F -4 3 m'
_symmetry_Int_Tables_number 216
_symmetry_space_group_name_Hall 'F -4 2 3'
_cell_length_a 6.609
_cell_length_b 6.609
_cell_length_c 6.609
_cell_angle_alpha 90.00
_cell_angle_beta 90.00
_cell_angle_gamma 90.00
loop_
_atom_site_label
_atom_site_fract_x
_atom_site_fract_y
_atom_site_fract_z
Zr1 0.000 0.000 0.000
Cr1 0.250 0.250 0.250
Au1 0.000 0.000 0.500
Au2 0.250 0.250 0.750
```

Output
Total energy in eV/cell: -101.002
Energy relative to the lowest polymorph listed for this composition in meV per atom: 76
Energy relative to the elements in meV/atom: -131

The following is a DFT calculation (GGA-PBE) of a relaxed structure of Cs6Au.

CIF file:
```
data_Cs6Au
_chemical_formula_sum 'Cs6 Au1'
_symmetry_space_group_name_H-M 'P -3 1 m'
_symmetry_Int_Tables_number 162
_symmetry_space_group_name_Hall '-P 3 2'
_cell_length_a 9.2331
_cell_length_b 9.2331
_cell_length_c 8.8396
_cell_angle_alpha 90.00
_cell_angle_beta 90.00
_cell_angle_gamma 120.00
loop_
_atom_site_label
_atom_site_fract_x
_atom_site_fract_y
_atom_site_fract_z
Cs1 0.0000 0.3195 0.2593
Au1 0.0000 0.0000 0.5000
```

Output
Total energy in eV/cell: -9.163
Energy relative to the lowest polymorph listed for this composition in meV per atom: 0
Energy relative to the elements in meV/atom: -109

The following is a DFT calculation (GGA-PBE) of a relaxed structure of Cs5Au.

CIF file:
```
data_Cs5Au
_chemical_formula_sum 'Cs20 Au4'
_symmetry_space_group_name_H-M 'I 4/m c m'
_symmetry_Int_Tables_number 140
_symmetry_space_group_name_Hall '-I 4 2c'
_cell_length_a 9.215
_cell_length_b 9.215
_cell_length_c 24.849
_cell_angle_alpha 90.00
_cell_angle_beta 90.00
_cell_angle_gamma 90.00
loop_
_atom_site_label
_atom_site_fract_x
_atom_site_fract_y
_atom_site_fract_z
Cs1 0.000 0.000 0.000
Cs2 0.192 0.308 0.167
Au1 0.000 0.000 0.250
```

Output
Total energy in eV/cell: -31.970
Energy relative to the lowest polymorph listed for this composition in meV per atom: 0
Energy relative to the elements in meV/atom: -75

The following is a DFT calculation (GGA-PBE) of a relaxed structure of CsAu3.

CIF file:
```
data_CsAu3
_chemical_formula_sum 'Cs2 Au6'
_symmetry_space_group_name_H-M 'C 1 2/m 1'
_symmetry_Int_Tables_number 12
_cell_length_a 8.360
_cell_length_b 4.885
_cell_length_c 7.487
_cell_angle_alpha 90.00
_cell_angle_beta 121.50
_cell_angle_gamma 90.00
loop_
_symmetry_equiv_pos_as_xyz
'x,y,z'
'-x,-y,-z'
'-x,y,-z'
'x,-y,z'
'x+1/2,y+1/2,z'
'-x+1/2,-y+1/2,-z'
'-x+1/2,y+1/2,-z'
'x+1/2,-y+1/2,z'
loop_
_atom_site_label
_atom_site_fract_x
_atom_site_fract_y
_atom_site_fract_z
Cs1 0.000 0.000 0.000
Au1 0.000 0.500 0.500
Au2 0.177 0.000 0.523
```

Output
Total energy in eV/cell: -23.375
Energy relative to the lowest polymorph listed for this composition in meV per atom: 0
Energy relative to the elements in meV/atom: -251

The following is a DFT calculation (GGA-PBE) of a relaxed structure of CsAu3.

CIF file:
```
data_CsAu3
_chemical_formula_sum 'Cs1 Au3'
_symmetry_space_group_name_H-M 'P 4 m m'
_symmetry_Int_Tables_number 99
_cell_length_a 3.967
_cell_length_b 3.967
_cell_length_c 7.572
_cell_angle_alpha 90.00
_cell_angle_beta 90.00
_cell_angle_gamma 90.00
loop_
_symmetry_equiv_pos_as_xyz
'x,y,z'
'-y,x,z'
'-x,-y,z'
'y,-x,z'
'-x,y,z'
'y,x,z'
'x,-y,z'
'-y,-x,z'
loop_
_atom_site_label
_atom_site_fract_x
_atom_site_fract_y
_atom_site_fract_z
Cs1 0.000 0.000 0.000
Au1 0.000 0.500 0.573
Au2 0.500 0.500 0.297
```

Output
Total energy in eV/cell: -10.610
Energy relative to the lowest polymorph listed for this composition in meV per atom: 269
Energy relative to the elements in meV/atom: 19

The following is a DFT calculation (GGA-PBE) of a relaxed structure of Cs5Au4.

CIF file:
```
data_Cs5Au4
_chemical_formula_sum 'Cs10 Au8'
_symmetry_space_group_name_H-M 'I 4/m m m'
_symmetry_Int_Tables_number 139
_symmetry_space_group_name_Hall '-I 4 2'
_cell_length_a 13.183
_cell_length_b 13.183
_cell_length_c 4.548
_cell_angle_alpha 90.00
_cell_angle_beta 90.00
_cell_angle_gamma 90.00
loop_
_atom_site_label
_atom_site_fract_x
_atom_site_fract_y
_atom_site_fract_z
Cs1 0.000 0.000 0.000
Cs2 0.000 0.291 0.000
Au1 0.198 0.198 0.500
```

Output
Total energy in eV/cell: -38.635
Energy relative to the elements in meV/atom: -216

The following is a DFT calculation (GGA-PBE) of a relaxed structure of Cs6Au5.

CIF file:
```
data_Cs6Au5
_chemical_formula_sum 'Cs12 Au10'
_symmetry_space_group_name_H-M 'C 1 2/m 1'
_symmetry_Int_Tables_number 12
_cell_length_a 9.043
_cell_length_b 15.617
_cell_length_c 9.060
_cell_angle_alpha 90.00
_cell_angle_beta 109.04
_cell_angle_gamma 90.00
loop_
_symmetry_equiv_pos_as_xyz
'x,y,z'
'-x,-y,-z'
'-x,y,-z'
'x,-y,z'
'x+1/2,y+1/2,z'
'-x+1/2,-y+1/2,-z'
'-x+1/2,y+1/2,-z'
'x+1/2,-y+1/2,z'
loop_
_atom_site_label
_atom_site_fract_x
_atom_site_fract_y
_atom_site_fract_z
Cs1 0.238 0.000 0.253
Cs2 0.238 0.174 0.739
Au1 0.000 0.000 0.500
Au2 0.000 0.169 0.000
Au3 0.000 0.340 0.500
```

Output
Total energy in eV/cell: -49.517
Energy relative to the elements in meV/atom: -295

The following is a DFT calculation (GGA-PBE) of a relaxed structure of Cs5Au.

CIF file:
```
data_Cs5Au
_chemical_formula_sum 'Cs10 Au2'
_symmetry_space_group_name_H-M 'C m m m'
_symmetry_Int_Tables_number 65
_symmetry_space_group_name_Hall '-C 2 2'
_cell_length_a 4.843
_cell_length_b 38.205
_cell_length_c 5.729
_cell_angle_alpha 90.00
_cell_angle_beta 90.00
_cell_angle_gamma 90.00
loop_
_atom_site_label
_atom_site_fract_x
_atom_site_fract_y
_atom_site_fract_z
Cs1 0.000 0.000 0.000
Cs2 0.000 0.084 0.500
Cs3 0.000 0.312 0.000
Au1 0.000 0.500 0.500
```

Output
Total energy in eV/cell: -15.909
Energy relative to the lowest polymorph listed for this composition in meV per atom: 6
Energy relative to the elements in meV/atom: -68

no.,Fermi-level density of states (states/eV/cell)
1,4.93
2,3.49
3,13.35
4,12.77
5,7.11
6,7.10
7,15.64
8,2.42
9,1.93
10,4.24
11,11.21
12,11.03